1.
The following is a DFT calculation (GGA-PBE) of a geometry-optimized Pr4I6N structure.

Calculated values
- M_tot (Bohr magnetons per cell) = 2.95
- formation energy from raw total energies (eV/atom) = -1.22
- DFT total energy (eV/f.u.) = -50.2
- D(E_F) (states/eV/cell) = 10.35

Cell and atoms, written as CIF:
```
data_Pr4I6N
_chemical_formula_sum 'Pr8 I12 N2'
_cell_length_a 10.1352
_cell_length_b 10.1352
_cell_length_c 8.6001
_cell_angle_alpha 90.00
_cell_angle_beta 90.00
_cell_angle_gamma 120.00
_space_group_name_H-M_alt 'P 63 m c'
_space_group_IT_number 186
_space_group_name_Hall 'P 6c -2c'
loop_
_atom_site_label
_atom_site_type_symbol
_atom_site_fract_x
_atom_site_fract_y
_atom_site_fract_z
Pr1 Pr 0.2045 0.4091 0.0000
Pr2 Pr 0.3333 0.6667 0.6779
I1 I 0.0561 0.5280 0.3156
I2 I 0.1365 0.2731 0.6323
N1 N 0.3333 0.6667 0.9618
```

2.
The following is a DFT calculation (GGA-PBE) of a geometry-optimized Pr3IN2 structure.

Calculated values
- M_tot (Bohr magnetons per cell) = 0.00
- formation energy from raw total energies (eV/atom) = -1.23
- DFT total energy (eV/f.u.) = -39.9
- D(E_F) (states/eV/cell) = 6.02

Cell and atoms, written as CIF:
```
data_Pr3IN2
_chemical_formula_sum 'Pr6 I2 N4'
_cell_length_a 3.7894
_cell_length_b 3.7894
_cell_length_c 21.4802
_cell_angle_alpha 90.00
_cell_angle_beta 90.00
_cell_angle_gamma 120.00
_space_group_name_H-M_alt 'P 63/m m c'
_space_group_IT_number 194
_space_group_name_Hall '-P 6c 2c'
loop_
_atom_site_label
_atom_site_type_symbol
_atom_site_fract_x
_atom_site_fract_y
_atom_site_fract_z
Pr1 Pr 0.0000 0.0000 0.0000
Pr2 Pr 0.3333 0.6667 0.1292
I1 I 0.0000 0.0000 0.2500
N1 N 0.3333 0.6667 0.5734
```

3.
The following is a DFT calculation (GGA-PBE) of a geometry-optimized PrIN structure.

Calculated values
- M_tot (Bohr magnetons per cell) = 0.00
- formation energy from raw total energies (eV/atom) = -1.18
- DFT total energy (eV/f.u.) = -18.2
- D(E_F) (states/eV/cell) = 0.19

Cell and atoms, written as CIF:
```
data_PrIN
_chemical_formula_sum 'Pr4 I4 N4'
_cell_length_a 7.431
_cell_length_b 3.876
_cell_length_c 11.862
_cell_angle_alpha 90.00
_cell_angle_beta 99.85
_cell_angle_gamma 90.00
_space_group_name_H-M_alt 'C 1 2/m 1'
_space_group_IT_number 12
loop_
_space_group_symop_operation_xyz
'x,y,z'
'-x,-y,-z'
'-x,y,-z'
'x,-y,z'
'x+1/2,y+1/2,z'
'-x+1/2,-y+1/2,-z'
'-x+1/2,y+1/2,-z'
'x+1/2,-y+1/2,z'
loop_
_atom_site_label
_atom_site_type_symbol
_atom_site_fract_x
_atom_site_fract_y
_atom_site_fract_z
Pr1 Pr 0.093 0.000 0.380
I1 I 0.205 0.500 0.188
N1 N 0.074 0.500 0.547
```